Here is crystalline MgAgI2F at its relaxed geometry from Alexandria via LeMat-Bulk. Energies are from PBE.

Summary:
space-group type	P4/mmm (123)
raw formation energy	-0.12	eV/atom

Geometry as POSCAR:
```
MgAgI2F
1.0
-3.873 0.043 -3.875
3.420 -2.373 -3.445
-1.729 -4.922 1.673
Ag Mg I F
1 1 2 1
direct
0.000 0.000 0.000 Ag
0.000 0.500 0.000 Mg
0.500 0.000 0.000 I
0.000 0.000 0.500 I
0.500 0.500 0.500 F
```